# 1
Entry from the Alexandria database: crystalline Sc2GaTcCl at its relaxed geometry (GGA-PBE).

Its crystal system is tetragonal.

The structure belongs to space group P4/mmm (No. 123); the cell edges are 5.075, 5.075 and 4.568 Å and the angles 90.00°, 90.00° and 90.00°. The inequivalent atoms are Sc at (0.000, 0.500, 0.000), Ga at (0.000, 0.000, 0.500), Tc at (0.500, 0.500, 0.000) and Cl at (0.500, 0.500, 0.500).


# 2
Entry from the Alexandria database: crystalline ScTi2GaCl at its relaxed geometry (GGA-PBE).

Its crystal system is tetragonal.

The structure belongs to space group P4/mmm (No. 123); the cell edges are 4.926, 4.926 and 5.156 Å and the angles 90.00°, 90.00° and 90.00°. The inequivalent atoms are Sc at (0.000, 0.000, 0.000), Ti at (0.000, 0.500, 0.500), Ga at (0.000, 0.000, 0.500) and Cl at (0.500, 0.500, 0.000).


# 3
Entry from the Alexandria database: crystalline Ga2SeCl8 at its relaxed geometry (GGA-PBE).

Its crystal system is monoclinic.

The structure belongs to space group C2/m (No. 12); the cell edges are 12.447, 8.176 and 7.990 Å and the angles 90.00°, 98.57° and 90.00°. The inequivalent atoms are Ga at (0.217, 0.000, 0.310), Se at (0.000, 0.000, 0.000), Cl at (0.119, 0.207, 0.161), Cl at (0.120, 0.500, 0.744) and Cl at (0.186, 0.000, 0.567).


# 4
Entry from the Alexandria database: crystalline Ga12Se3Cl5 at its relaxed geometry (GGA-PBE).

Its crystal system is cubic.

The structure belongs to space group Ia-3d (No. 230); the cell edges are 17.385, 17.385 and 17.385 Å and the angles 90.00°, 90.00° and 90.00°. The inequivalent atoms are Ga at (0.001, 0.061, 0.162), Se at (0.000, 0.250, 0.125), Cl at (0.000, 0.000, 0.000) and Cl at (0.000, 0.250, 0.375).


# 5
Entry from the Alexandria database: crystalline GaSe3Cl at its relaxed geometry (GGA-PBE).

The relative energy among the computed polymorphs comes out at 1.20 eV/f.u. Its crystal system is cubic.

The structure belongs to space group Pm-3m (No. 221); the cell edges are 5.084, 5.084 and 5.084 Å and the angles 90.00°, 90.00° and 90.00°. The inequivalent atoms are Ga at (0.000, 0.000, 0.000), Se at (0.000, 0.500, 0.500) and Cl at (0.500, 0.500, 0.500).


# 6
Entry from the Alexandria database: crystalline Ga3SeCl at its relaxed geometry (GGA-PBE).

Its crystal system is cubic.

The structure belongs to space group Pm-3m (No. 221); the cell edges are 5.376, 5.376 and 5.376 Å and the angles 90.00°, 90.00° and 90.00°. The inequivalent atoms are Ga at (0.000, 0.000, 0.500), Se at (0.500, 0.500, 0.500) and Cl at (0.000, 0.000, 0.000).


So what do the calculations give for M_tot? Going down the list: 0.00 4.62 0.00 0.00 0.00 0.00 μB/f.u..
So what do the calculations give for uncorrected formation energy? Going down the list: 0.21 0.42 -0.84 -0.22 0.68 0.11 eV per atom.